Below is a relaxed AgPdAu4 crystal, with properties calculated at the PBE-GGA level.

Output
space-group type	F-43m
electronic total energy	-3.404	eV/atom
ΔE to the lowest computed polymorph	170.4	meV per atom

abc: 5.4508 5.4508 5.4508
angles: 60.00 60.00 60.00
Atoms (fractional coordinates):
Au1 0.6250 0.6250 0.1250
Au2 0.6250 0.1250 0.6250
Au3 0.1250 0.6250 0.6250
Au4 0.6250 0.6250 0.6250
Ag1 0.2500 0.2500 0.2500
Pd1 0.0000 0.0000 0.0000

=====

Below is a relaxed HfTlTe2 crystal, with properties calculated at the PBE-GGA level.

Output
formation energy from raw total energies	-0.34	eV per atom
space-group type	Cmc2_1
electronic total energy	-4.991	eV/atom

abc: 7.1291 8.8770 6.9321
angles: 90.00 90.00 90.00
Atoms (fractional coordinates):
Tl1 0.9394 0.5000 0.8876
Tl2 0.4394 0.0000 0.8876
Tl3 0.5606 0.0000 0.3876
Tl4 0.0606 0.5000 0.3876
Hf1 0.8496 0.0000 0.0175
Hf2 0.1504 0.0000 0.5175
Hf3 0.6504 0.5000 0.5175
Hf4 0.3496 0.5000 0.0175
Te1 0.6521 0.3074 0.1723
Te2 0.1521 0.1926 0.1723
Te3 0.8479 0.1926 0.6723
Te4 0.3479 0.6926 0.6723
Te5 0.3479 0.3074 0.6723
Te6 0.6521 0.6926 0.1723
Te7 0.1521 0.8074 0.1723
Te8 0.8479 0.8074 0.6723

=====

Below is a relaxed BeCuAg2 crystal, with properties calculated at the PBE-GGA level.

Output
space-group type	R3m
electronic total energy	-3.200	eV/atom

abc: 8.5507 8.5507 8.5507
angles: 18.96 18.96 18.96
Atoms (fractional coordinates):
Be1 0.4946 0.4946 0.4946
Ag1 0.2382 0.2382 0.2382
Ag2 0.0055 0.0055 0.0055
Cu1 0.7617 0.7617 0.7617

=====

Below is a relaxed CaTeCN2 crystal, with properties calculated at the PBE-GGA level.

Output
formation energy from raw total energies	2.53	eV per atom
space-group type	P4/mmm
electronic total energy	-3.670	eV/atom
ΔE to the lowest computed polymorph	734.4	meV per atom

abc: 4.4356 4.4356 6.6456
angles: 90.00 90.00 90.00
Atoms (fractional coordinates):
N1 0.5000 0.0000 0.0000
N2 0.0000 0.5000 0.0000
Ca1 0.0000 0.0000 0.0000
Te1 0.0000 0.0000 0.5000
C1 0.5000 0.5000 0.5000